The following is a DFT calculation (GGA-PBE) of crystalline Re2SbRh at its relaxed geometry. Values from VASP.

Computed properties:
DOS at the Fermi energy (states/eV per atom): 0.953
SG: No. 123
Formation energy (no corrections) (kJ/mol of formula units): 193

```
&SYSTEM
  ibrav = 0, nat = 4, ntyp = 3
/
ATOMIC_SPECIES
Sb 121.76 Sb.upf
Rh 102.91 Rh.upf
Re 186.21 Re.upf
CELL_PARAMETERS angstrom
4.621 0.000 0.000
0.000 4.621 0.000
0.000 0.000 3.010
ATOMIC_POSITIONS crystal
Sb 0.000 0.000 0.500
Rh 0.500 0.500 0.500
Re 0.000 0.500 0.000
Re 0.500 0.000 0.000
```

***

The following is a DFT calculation (GGA-PBE) of crystalline ReSbRh2 at its relaxed geometry. Values from VASP.

Computed properties:
DOS at the Fermi energy (states/eV per atom): 0.674
SG: No. 122
Formation energy (no corrections) (kJ/mol of formula units): 249

```
&SYSTEM
  ibrav = 0, nat = 8, ntyp = 3
/
ATOMIC_SPECIES
Rh 102.91 Rh.upf
Re 186.21 Re.upf
Sb 121.76 Sb.upf
CELL_PARAMETERS angstrom
5.698 0.000 0.000
0.000 5.698 0.000
2.849 2.849 5.791
ATOMIC_POSITIONS crystal
Rh 0.875 0.904 0.750
Rh 0.375 0.346 0.750
Rh 0.654 0.125 0.250
Rh 0.096 0.625 0.250
Re 0.000 0.000 0.000
Re 0.750 0.250 0.500
Sb 0.250 0.750 0.500
Sb 0.500 0.500 0.000
```

***

The following is a DFT calculation (GGA-PBE) of crystalline Re2SbRh at its relaxed geometry. Values from VASP.

Computed properties:
DOS at the Fermi energy (states/eV per atom): 0.380
SG: No. 122
Formation energy (no corrections) (kJ/mol of formula units): 515

```
&SYSTEM
  ibrav = 0, nat = 8, ntyp = 3
/
ATOMIC_SPECIES
Rh 102.91 Rh.upf
Sb 121.76 Sb.upf
Re 186.21 Re.upf
CELL_PARAMETERS angstrom
-2.830 3.080 -4.071
-2.302 -4.925 -2.126
-6.997 -0.363 0.404
ATOMIC_POSITIONS crystal
Rh 0.250 0.750 0.500
Rh 0.500 0.500 0.000
Sb 0.750 0.250 0.500
Sb 0.000 0.000 0.000
Re 0.161 0.625 0.250
Re 0.875 0.839 0.750
Re 0.375 0.411 0.750
Re 0.589 0.125 0.250
```

***

The following is a DFT calculation (GGA-PBE) of crystalline ReSbRh3 at its relaxed geometry. Values from VASP.

Computed properties:
DOS at the Fermi energy (states/eV per atom): 0.869
SG: No. 221
Formation energy (no corrections) (kJ/mol of formula units): 489

```
&SYSTEM
  ibrav = 0, nat = 5, ntyp = 3
/
ATOMIC_SPECIES
Sb 121.76 Sb.upf
Re 186.21 Re.upf
Rh 102.91 Rh.upf
CELL_PARAMETERS angstrom
4.727 0.000 0.000
0.000 4.727 0.000
0.000 0.000 4.727
ATOMIC_POSITIONS crystal
Sb 0.500 0.500 0.500
Re 0.000 0.000 0.000
Rh 0.000 0.000 0.500
Rh 0.500 0.000 0.000
Rh 0.000 0.500 0.000
```